Here is a relaxed structure of GdLu2 from OQMD via LeMat-Bulk. Energies are from GGA-PBE.

Summary:
symmetry: Fd-3m, No. 227
crystal system: cubic
calculated formation energy: 0.283 eV per atom
spin magnetization: 0.9917 μB/atom
energy relative to the lowest polymorph listed for this composition: 0.00 kcal/mol of atoms

a = 6.5208 Å, b = 6.5208 Å, c = 6.5208 Å
α = 60.00°, β = 60.00°, γ = 60.00°
Closest atoms and distances in Å follow each position.
Sites, in units of the cell vectors:
1 Gd 0.1250 0.1250 0.1250  12 Lu 3.82, 4 Gd 3.99
2 Gd 0.8750 0.8750 0.8750  12 Lu 3.82, 4 Gd 3.99
3 Lu 0.0000 0.5000 0.5000  6 Lu 3.26
4 Lu 0.5000 0.0000 0.5000  6 Lu 3.26
5 Lu 0.5000 0.5000 0.0000  6 Lu 3.26
6 Lu 0.5000 0.5000 0.5000  6 Lu 3.26

Here is a relaxed structure of GdLu2 from OQMD via LeMat-Bulk. Energies are from GGA-PBE.

Summary:
symmetry: Fd-3m, No. 227
crystal system: cubic
calculated formation energy: 2.527 eV per atom
spin magnetization: 1.6666 μB/atom
energy relative to the lowest polymorph listed for this composition: 51.74 kcal/mol of atoms

a = 10.1413 Å, b = 10.1413 Å, c = 10.1413 Å
α = 60.00°, β = 60.00°, γ = 60.00°
Closest atoms and distances in Å follow each position.
Sites, in units of the cell vectors:
1 Gd 0.1250 0.1250 0.1250  4 Lu 3.11
2 Gd 0.8750 0.8750 0.8750  4 Lu 3.11
3 Lu 0.0000 0.0000 0.0000  2 Gd 3.11
4 Lu 0.0000 0.0000 0.5000  2 Gd 3.11
5 Lu 0.0000 0.5000 0.0000  2 Gd 3.11
6 Lu 0.5000 0.0000 0.0000  2 Gd 3.11

Here is a relaxed structure of GdLuMg from OQMD via LeMat-Bulk. Energies are from GGA-PBE.

Summary:
symmetry: F-43m, No. 216
crystal system: cubic
spin magnetization: 0.0346 μB/atom
energy relative to the lowest polymorph listed for this composition: 0.00 kcal/mol of atoms

a = 5.1945 Å, b = 5.1945 Å, c = 5.1945 Å
α = 60.00°, β = 60.00°, γ = 60.00°
Closest atoms and distances in Å follow each position.
Sites, in units of the cell vectors:
1 Gd 0.0000 0.0000 0.0000  4 Mg 3.18
2 Lu 0.5000 0.5000 0.5000  4 Mg 3.18
3 Mg 0.2500 0.2500 0.2500  4 Gd 3.18, 4 Lu 3.18

Here is a relaxed structure of GdLuNO from OQMD via LeMat-Bulk. Energies are from GGA-PBE.

Summary:
symmetry: P4/mmm, No. 123
crystal system: tetragonal
spin magnetization: 0.0000 μB/atom
energy relative to the lowest polymorph listed for this composition: 0.00 kcal/mol of atoms

a = 3.4105 Å, b = 3.4105 Å, c = 4.7707 Å
α = 90.00°, β = 90.00°, γ = 90.00°
Closest atoms and distances in Å follow each position.
Sites, in units of the cell vectors:
1 Gd 0.0000 0.0000 0.0000  2 O 2.39, 4 N 2.41
2 Lu 0.5000 0.5000 0.5000  2 N 2.39, 4 O 2.41
3 N 0.5000 0.5000 0.0000  2 Lu 2.39, 4 Gd 2.41
4 O 0.0000 0.0000 0.5000  2 Gd 2.39, 4 Lu 2.41

Here is a relaxed structure of GdLuNO from OQMD via LeMat-Bulk. Energies are from GGA-PBE.

Summary:
symmetry: P4/nmm, No. 129
crystal system: tetragonal
spin magnetization: 0.0008 μB/atom
energy relative to the lowest polymorph listed for this composition: 9.05 kcal/mol of atoms

a = 4.3210 Å, b = 4.3210 Å, c = 8.2024 Å
α = 90.00°, β = 90.00°, γ = 90.00°
Closest atoms and distances in Å follow each position.
Sites, in units of the cell vectors:
1 Gd 0.2500 0.2500 0.1037  4 O 2.32
2 Gd 0.7500 0.7500 0.8963  4 O 2.32
3 Lu 0.2500 0.7500 0.5000  4 N 2.23
4 Lu 0.7500 0.2500 0.5000  4 N 2.23
5 N 0.2500 0.2500 0.5665  4 Lu 2.23
6 N 0.7500 0.7500 0.4335  4 Lu 2.23
7 O 0.2500 0.7500 0.0000  4 Gd 2.32
8 O 0.7500 0.2500 0.0000  4 Gd 2.32

Here is a relaxed structure of GdLuNO from OQMD via LeMat-Bulk. Energies are from GGA-PBE.

Summary:
symmetry: Pmma, No. 51
crystal system: orthorhombic
spin magnetization: 0.0142 μB/atom
energy relative to the lowest polymorph listed for this composition: 1.56 kcal/mol of atoms

a = 4.8371 Å, b = 3.9661 Å, c = 6.8016 Å
α = 90.00°, β = 90.00°, γ = 90.00°
Closest atoms and distances in Å follow each position.
Sites, in units of the cell vectors:
1 Gd 0.2500 0.0000 0.1600  3 N 2.34-2.42, 2 O 2.37
2 Gd 0.7500 0.0000 0.8400  3 N 2.34-2.42, 2 O 2.37
3 Lu 0.2500 0.5000 0.6742  3 O 2.19-2.42, 2 N 2.21
4 Lu 0.7500 0.5000 0.3258  3 O 2.19-2.42, 2 N 2.21
5 N 0.2500 0.0000 0.8166  2 Lu 2.21, 3 Gd 2.34-2.42
6 N 0.7500 0.0000 0.1834  2 Lu 2.21, 3 Gd 2.34-2.42
7 O 0.2500 0.5000 0.3516  3 Lu 2.19-2.42, 2 Gd 2.37
8 O 0.7500 0.5000 0.6484  3 Lu 2.19-2.42, 2 Gd 2.37

Here is a relaxed structure of GdLuNO from OQMD via LeMat-Bulk. Energies are from GGA-PBE.

Summary:
symmetry: Pca2_1, No. 29
crystal system: orthorhombic
spin magnetization: 0.0009 μB/atom
energy relative to the lowest polymorph listed for this composition: 2.34 kcal/mol of atoms

a = 6.5310 Å, b = 7.9994 Å, c = 4.9285 Å
α = 90.00°, β = 90.00°, γ = 90.00°
Closest atoms and distances in Å follow each position.
Sites, in units of the cell vectors:
1 Gd 0.0808 0.1301 0.0000  4 N 2.30-2.47, 1 O 2.31
2 Gd 0.4192 0.1301 0.5000  4 N 2.30-2.47, 1 O 2.31
3 Gd 0.5808 0.8699 0.0000  4 N 2.30-2.47, 1 O 2.31
4 Gd 0.9192 0.8699 0.5000  4 N 2.30-2.47, 1 O 2.31
5 Lu 0.0720 0.6194 0.0001  2 O 2.15-2.22, 1 N 2.16
6 Lu 0.4280 0.6194 0.5001  2 O 2.15-2.22, 1 N 2.16
7 Lu 0.5720 0.3806 0.0001  2 O 2.15-2.22, 1 N 2.16
8 Lu 0.9280 0.3806 0.5001  2 O 2.15-2.22, 1 N 2.16
9 N 0.0614 0.1330 0.5008  1 Lu 2.16, 2 Gd 2.30-2.34
10 N 0.4386 0.1330 0.0008  1 Lu 2.16, 2 Gd 2.30-2.34
11 N 0.5614 0.8670 0.5008  1 Lu 2.16, 2 Gd 2.30-2.34
12 N 0.9386 0.8670 0.0008  1 Lu 2.16, 2 Gd 2.30-2.34
13 O 0.0981 0.6202 0.4985  2 Lu 2.15-2.22, 1 Gd 2.31
14 O 0.4019 0.6202 0.9985  2 Lu 2.15-2.22, 1 Gd 2.31
15 O 0.5981 0.3798 0.4985  2 Lu 2.15-2.22, 1 Gd 2.31
16 O 0.9019 0.3798 0.9985  2 Lu 2.15-2.22, 1 Gd 2.31

Here is a relaxed structure of GdLuNO from OQMD via LeMat-Bulk. Energies are from GGA-PBE.

Summary:
symmetry: Pmma, No. 51
crystal system: orthorhombic
spin magnetization: 0.0112 μB/atom
energy relative to the lowest polymorph listed for this composition: 0.63 kcal/mol of atoms

a = 4.8026 Å, b = 3.9368 Å, c = 6.8295 Å
α = 90.00°, β = 90.00°, γ = 90.00°
Closest atoms and distances in Å follow each position.
Sites, in units of the cell vectors:
1 Gd 0.2500 0.0000 0.1638  2 N 2.32, 3 O 2.41-2.42
2 Gd 0.7500 0.0000 0.8362  2 N 2.32, 3 O 2.41-2.42
3 Lu 0.2500 0.5000 0.6662  2 O 2.20, 3 N 2.20-2.40
4 Lu 0.7500 0.5000 0.3338  2 O 2.20, 3 N 2.20-2.40
5 N 0.2500 0.5000 0.3440  3 Lu 2.20-2.40, 2 Gd 2.32
6 N 0.7500 0.5000 0.6560  3 Lu 2.20-2.40, 2 Gd 2.32
7 O 0.2500 0.0000 0.8089  2 Lu 2.20, 3 Gd 2.41-2.42
8 O 0.7500 0.0000 0.1911  2 Lu 2.20, 3 Gd 2.41-2.42